Entry from Alexandria: an optimized crystal structure of NdDy3Y3 (PBE).

Cell: 9.6237 9.6237 5.7027 Å, 90.00 90.00 120.00°
With the nearest neighbours (Å) after each atom.
Positions (direct):
Nd1 0.3333 0.6667 0.2500  9 Y 3.54-3.65, 3 Dy 3.65
Nd2 0.6667 0.3333 0.7500  9 Y 3.54-3.65, 3 Dy 3.65
Dy1 0.0493 0.8133 0.2500  6 Dy 3.53-3.59, 5 Y 3.55-3.68, 1 Nd 3.65
Dy2 0.1867 0.2361 0.2500  6 Dy 3.53-3.59, 5 Y 3.55-3.68, 1 Nd 3.65
Dy3 0.2361 0.0493 0.7500  6 Dy 3.53-3.59, 5 Y 3.55-3.68, 1 Nd 3.65
Dy4 0.7639 0.9507 0.2500  6 Dy 3.53-3.59, 5 Y 3.55-3.68, 1 Nd 3.65
Dy5 0.8133 0.7639 0.7500  6 Dy 3.53-3.59, 5 Y 3.55-3.68, 1 Nd 3.65
Dy6 0.9507 0.1867 0.7500  6 Dy 3.53-3.59, 5 Y 3.55-3.68, 1 Nd 3.65
Y1 0.0960 0.6207 0.7500  3 Nd 3.54-3.65, 5 Dy 3.55-3.68, 4 Y 3.56-3.63
Y2 0.3793 0.4752 0.7500  3 Nd 3.54-3.65, 5 Dy 3.55-3.68, 4 Y 3.56-3.63
Y3 0.4752 0.0960 0.2500  3 Nd 3.54-3.65, 5 Dy 3.55-3.68, 4 Y 3.56-3.63
Y4 0.5248 0.9040 0.7500  3 Nd 3.54-3.65, 5 Dy 3.55-3.68, 4 Y 3.56-3.63
Y5 0.6207 0.5248 0.2500  3 Nd 3.54-3.65, 5 Dy 3.55-3.68, 4 Y 3.56-3.63
Y6 0.9040 0.3793 0.2500  3 Nd 3.54-3.65, 5 Dy 3.55-3.68, 4 Y 3.56-3.63

Computed properties:
For the formation energy, the calculation gives 0.011 eV/atom. The total energy is -5.413 eV/atom. Its space-group type is P6_3/m (176). The value obtained for the density of states at the Fermi level is 2.05 states/eV per atom.